No. 1
# YZn2GaNi

A relaxed YZn2GaNi crystal (PBE, Alexandria).

Cell lengths 4.5555, 4.5555, 4.5077 Å; angles 90.00, 90.00, 90.00 degrees
Closest atoms and distances in Å follow each position.
Element x y z (fractional)
Y  0.0000  0.0000  0.0000  8 Zn 3.20, 4 Ga 3.22
Zn  0.0000  0.5000  0.5000  2 Ni 2.28
Zn  0.5000  0.0000  0.5000  2 Ni 2.28
Ga  0.5000  0.5000  0.0000  2 Ni 2.25
Ni  0.5000  0.5000  0.5000  2 Ga 2.25, 4 Zn 2.28

Summary:
- Formation energy: -274 meV/atom
- Spin magnetization: 0.00 Bohr magnetons per cell
- VASP energy: -3.838 eV/atom
- Energy above the most stable polymorph in this dataset: 0.136 eV/atom

=====

No. 2
# Ni3Pt5Rh2

A relaxed Ni3Pt5Rh2 crystal (PBE, Alexandria).

Cell lengths 7.0244, 7.0244, 8.1570 Å; angles 109.49, 109.49, 22.29 degrees
Closest atoms and distances in Å follow each position.
Element x y z (fractional)
Ni  0.0000  0.0000  0.0000  6 Pt 2.64-2.65, 6 Ni 2.66-2.72
Ni  0.4025  0.4025  0.1779  5 Pt 2.51-2.62, 4 Ni 2.66-2.72
Ni  0.5975  0.5975  0.8221  5 Pt 2.51-2.62, 4 Ni 2.66-2.72
Pt  0.2038  0.2038  0.0993  4 Ni 2.59-2.65, 6 Pt 2.72-2.74, 2 Rh 2.79
Pt  0.3971  0.3971  0.7168  3 Ni 2.60-2.64, 5 Pt 2.62-2.73, 3 Rh 2.76-2.78
Pt  0.5000  0.5000  0.5000  2 Ni 2.51, 4 Pt 2.62-2.72, 4 Rh 2.75
Pt  0.6029  0.6029  0.2832  3 Ni 2.60-2.64, 5 Pt 2.62-2.73, 3 Rh 2.76-2.78
Pt  0.7962  0.7962  0.9007  4 Ni 2.59-2.65, 6 Pt 2.72-2.74, 2 Rh 2.79
Rh  0.1842  0.1842  0.5971  2 Rh 2.72, 7 Pt 2.75-2.79, 2 Ni 2.85
Rh  0.8158  0.8158  0.4029  2 Rh 2.72, 7 Pt 2.75-2.79, 2 Ni 2.85

Summary:
- Formation energy: 44 meV/atom
- Spin magnetization: 0.00 Bohr magnetons per cell
- VASP energy: -6.181 eV/atom
- Energy above the most stable polymorph in this dataset: 0.000 eV/atom

=====

No. 3
# Ca2InGaF8

A relaxed Ca2InGaF8 crystal (PBE, Alexandria).

Cell lengths 5.1043, 5.1622, 7.3727 Å; angles 89.81, 89.74, 89.05 degrees
Closest atoms and distances in Å follow each position.
Element x y z (fractional)
Ca  0.9999  0.0000  0.2436  6 F 2.26-2.44
Ca  0.0001  0.0000  0.7564  6 F 2.26-2.44
In  0.5000  0.5000  0.5000  6 F 2.44-2.71
Ga  0.5000  0.5000  0.0000  6 F 1.91-2.01
F  0.1984  0.1384  0.4988  2 Ca 2.26-2.27, 1 In 2.44, 1 F 2.50
F  0.2321  0.2190  0.9993  1 Ga 2.01
F  0.3010  0.6793  0.1827  1 Ga 1.92
F  0.3046  0.6828  0.8176  1 Ga 1.91
F  0.6954  0.3172  0.1824  1 Ga 1.91
F  0.6990  0.3207  0.8173  1 Ga 1.92
F  0.7679  0.7810  0.0007  1 Ga 2.01
F  0.8016  0.8616  0.5012  2 Ca 2.26-2.27, 1 In 2.44, 1 F 2.50

Summary:
- Spin magnetization: 0.00 Bohr magnetons per cell
- VASP energy: -5.135 eV/atom
- Formation energy (no corrections): -3074 meV per atom

=====

No. 4
# Zr2PtAu

A relaxed Zr2PtAu crystal (PBE, Alexandria).

Cell lengths 6.2889, 6.2889, 6.2889 Å; angles 152.64, 132.46, 55.72 degrees
Closest atoms and distances in Å follow each position.
Element x y z (fractional)
Zr  0.2340  0.2340  0.0000  1 Pt 2.60
Zr  0.7660  0.7660  0.0000  1 Pt 2.60
Pt  0.0000  0.0000  0.0000  2 Zr 2.60
Au  0.5000  0.5000  0.0000  4 Pt 2.94, 2 Zr 2.96, 2 Au 2.97

Summary:
- Formation energy: 198 meV/atom
- Spin magnetization: 0.00 Bohr magnetons per cell
- VASP energy: -6.405 eV/atom

=====

No. 5
# Al2NiSe

A relaxed Al2NiSe crystal (PBE, Alexandria).

Cell lengths 3.4255, 3.4255, 6.8105 Å; angles 104.67, 104.67, 60.26 degrees
Closest atoms and distances in Å follow each position.
Element x y z (fractional)
Al  0.2419  0.2419  0.2262  3 Ni 2.47, 3 Se 2.66
Al  0.7581  0.7581  0.7738  3 Ni 2.47, 3 Se 2.66
Ni  0.5000  0.5000  0.0000  6 Al 2.47
Se  0.0000  0.0000  0.5000  6 Al 2.66

Summary:
- Spin magnetization: 0.00 Bohr magnetons per cell
- VASP energy: -4.413 eV/atom
- Formation energy (no corrections): -225 meV per atom

=====

No. 6
# Ca2MgNi

A relaxed Ca2MgNi crystal (PBE, Alexandria).

Cell lengths 5.0763, 5.0763, 3.8862 Å; angles 90.00, 90.00, 90.00 degrees
Closest atoms and distances in Å follow each position.
Element x y z (fractional)
Ca  0.0000  0.5000  0.0000  4 Ni 3.20, 4 Mg 3.20
Ca  0.5000  0.0000  0.0000  4 Ni 3.20, 4 Mg 3.20
Mg  0.0000  0.0000  0.5000  8 Ca 3.20
Ni  0.5000  0.5000  0.5000  8 Ca 3.20

Summary:
- Formation energy: 73 meV/atom
- Spin magnetization: 0.00 Bohr magnetons per cell
- VASP energy: -2.772 eV/atom

=====

No. 7
# Ac2U2N5

A relaxed Ac2U2N5 crystal (PBE, Alexandria).

Cell lengths 9.6718, 9.6718, 9.6718 Å; angles 52.90, 143.19, 143.37 degrees
Closest atoms and distances in Å follow each position.
Element x y z (fractional)
Ac  0.0178  0.1243  0.1421  4 N 2.67-2.99
Ac  0.0178  0.3757  0.3935  4 N 2.67-2.99
Ac  0.9822  0.6243  0.6065  4 N 2.67-2.99
Ac  0.9822  0.8757  0.8579  4 N 2.67-2.99
U  0.4873  0.7496  0.2377  4 N 2.12-2.21
U  0.4998  0.9998  0.5000  6 N 2.20-2.30
U  0.4998  0.4998  0.0000  6 N 2.20-2.30
U  0.5119  0.2496  0.7623  4 N 2.12-2.21
N  0.9998  0.2246  0.7249  2 U 2.20
N  0.9998  0.7750  0.2752  2 U 2.20
N  0.9997  0.9967  0.5030  2 U 2.21
N  0.4197  0.6297  0.0498  2 U 2.12-2.30
N  0.4197  0.8700  0.2900  2 U 2.12-2.30
N  0.4937  0.4967  0.4970  2 U 2.21
N  0.4998  0.2750  0.2751  2 U 2.20
N  0.4998  0.7246  0.7248  2 U 2.20
N  0.5800  0.1297  0.7100  2 U 2.12-2.30
N  0.5800  0.3700  0.9502  2 U 2.12-2.30

Summary:
- Spin magnetization: 5.70 Bohr magnetons per cell
- VASP energy: -9.309 eV/atom
- Formation energy (no corrections): -1262 meV per atom

=====

No. 8
# ScTcIr4

A relaxed ScTcIr4 crystal (PBE, Alexandria).

Cell lengths 5.1738, 5.1738, 5.1738 Å; angles 60.00, 60.00, 60.00 degrees
Closest atoms and distances in Å follow each position.
Element x y z (fractional)
Sc  0.0000  0.0000  0.0000  12 Ir 3.03, 4 Tc 3.17
Tc  0.7500  0.7500  0.7500  12 Ir 3.03, 4 Sc 3.17
Ir  0.3750  0.3750  0.3750  6 Ir 2.59
Ir  0.3750  0.3750  0.8749  6 Ir 2.59
Ir  0.3750  0.8749  0.3750  6 Ir 2.59
Ir  0.8749  0.3750  0.3750  6 Ir 2.59

Summary:
- Formation energy: -64 meV/atom
- Spin magnetization: 1.95 Bohr magnetons per cell
- VASP energy: -8.754 eV/atom

=====

No. 9
# SrCa4Nd

A relaxed SrCa4Nd crystal (PBE, Alexandria).

Cell lengths 3.9982, 3.9982, 15.8503 Å; angles 90.04, 90.04, 90.00 degrees
Closest atoms and distances in Å follow each position.
Element x y z (fractional)
Sr  0.0000  0.0000  0.0000  4 Sr 4.00, 8 Ca 4.07-4.08
Ca  0.0001  0.0001  0.3493  4 Nd 3.70, 8 Ca 3.84-4.00
Ca  0.9999  0.9999  0.6507  4 Nd 3.70, 8 Ca 3.84-4.00
Ca  0.5001  0.5001  0.1850  8 Ca 3.84-4.00, 4 Sr 4.07-4.08
Ca  0.4999  0.4999  0.8150  8 Ca 3.84-4.00, 4 Sr 4.07-4.08
Nd  0.5000  0.5000  0.5000  8 Ca 3.70, 4 Nd 4.00

Summary:
- Formation energy: 50 meV/atom
- Spin magnetization: 0.00 Bohr magnetons per cell
- VASP energy: -2.360 eV/atom
- Energy above the most stable polymorph in this dataset: 0.000 eV/atom